1.
Here is a relaxed structure of TaAl3W from Alexandria via LeMat-Bulk. Energies are from GGA-PBE.

Cell and atoms, written as CIF:
```
data_TaAl3W
_cell_length_a 4.841
_cell_length_b 4.841
_cell_length_c 4.841
_cell_angle_alpha 90.00
_cell_angle_beta 90.00
_cell_angle_gamma 90.00
_space_group_name_H-M_alt 'P m -3 m'
_space_group_IT_number 221
_space_group_name_Hall '-P 4 2 3'
loop_
_atom_site_label
_atom_site_fract_x
_atom_site_fract_y
_atom_site_fract_z
_atom_site_occupancy
Ta1 0.000 0.000 0.000 1
Al1 0.000 0.000 0.500 1
W1 0.500 0.500 0.500 1
```

Summary:
Energy above the lowest structure with this stoichiometry = 2.28 eV per formula unit
Formation enthalpy at 0 K = 802 kJ/mol of formula units

2.
Here is a relaxed structure of PrNdCl2 from Alexandria via LeMat-Bulk. Energies are from GGA-PBE.

Cell and atoms, written as CIF:
```
data_PrNdCl2
_cell_length_a 3.6931
_cell_length_b 3.6931
_cell_length_c 29.4136
_cell_angle_alpha 90.00
_cell_angle_beta 90.00
_cell_angle_gamma 120.00
_space_group_name_H-M_alt 'R -3 m'
_space_group_IT_number 166
_space_group_name_Hall '-R 3 2"'
loop_
_atom_site_label
_atom_site_fract_x
_atom_site_fract_y
_atom_site_fract_z
_atom_site_occupancy
Pr1 0.0000 0.0000 0.0000 1
Nd1 0.0000 0.0000 0.5000 1
Cl1 0.0000 0.0000 0.4037 1
```

Summary:
Energy above the lowest structure with this stoichiometry = 0.15 eV per formula unit

3.
Here is a relaxed structure of TbCdTe2 from Alexandria via LeMat-Bulk. Energies are from GGA-PBE.

Cell and atoms, written as CIF:
```
data_TbCdTe2
_cell_length_a 4.3514
_cell_length_b 4.3514
_cell_length_c 23.3454
_cell_angle_alpha 90.00
_cell_angle_beta 90.00
_cell_angle_gamma 120.00
_space_group_name_H-M_alt 'R 3 m'
_space_group_IT_number 160
_space_group_name_Hall 'R 3 -2"'
loop_
_atom_site_label
_atom_site_fract_x
_atom_site_fract_y
_atom_site_fract_z
_atom_site_occupancy
Tb1 0.0000 0.0000 0.0000 1
Cd1 0.0000 0.0000 0.8346 1
Te1 0.0000 0.0000 0.4137 1
Te2 0.0000 0.0000 0.5906 1
```

Summary:
Energy above the lowest structure with this stoichiometry = 0.00 eV per formula unit

4.
Here is a relaxed structure of DyY2TmSe4 from Alexandria via LeMat-Bulk. Energies are from GGA-PBE.

Cell and atoms, written as CIF:
```
data_DyY2TmSe4
_cell_length_a 7.066
_cell_length_b 4.021
_cell_length_c 7.075
_cell_angle_alpha 90.00
_cell_angle_beta 108.91
_cell_angle_gamma 90.00
_space_group_name_H-M_alt 'P 1 2/m 1'
_space_group_IT_number 10
loop_
_space_group_symop_operation_xyz
'x,y,z'
'-x,-y,-z'
'-x,y,-z'
'x,-y,z'
loop_
_atom_site_label
_atom_site_fract_x
_atom_site_fract_y
_atom_site_fract_z
_atom_site_occupancy
Dy1 0.000 0.000 0.000 1
Y1 0.500 0.000 0.500 1
Y2 0.500 0.500 0.000 1
Tm1 0.000 0.500 0.500 1
Se1 0.245 0.000 0.746 1
Se2 0.247 0.500 0.252 1
```

Summary:
Uncorrected energy = -6.225 eV per atom